Compound: Cs3SrCu2Br9
Source: Alexandria
Functional: PBE
Structure: optimized geometry

Results
formation energy from raw total energies = -1762 kJ/mol of formula units
DOS(E_F) = 5.00 states/eV/cell
crystal system = trigonal
V = 501.8 Å³ per cell
SG = P-3m1, No. 164
E = -45.75 eV for the cell shown

a = 7.750 Å, b = 7.750 Å, c = 9.647 Å
α = 90.00°, β = 90.00°, γ = 120.00°
Atoms (fractional coordinates):
Cs 0.333 0.667 0.676
Cs 0.000 0.000 0.000
Cs 0.667 0.333 0.324
Sr 0.000 0.000 0.500
Cu 0.333 0.667 0.152
Cu 0.667 0.333 0.848
Br 0.823 0.177 0.689
Br 0.823 0.646 0.689
Br 0.354 0.177 0.689
Br 0.646 0.823 0.311
Br 0.177 0.354 0.311
Br 0.177 0.823 0.311
Br 0.500 0.000 0.000
Br 0.000 0.500 0.000
Br 0.500 0.500 0.000